This record from the Alexandria database describes a relaxed Nd6TlCu2 crystal. The functional is PBE.

**Magnetic moment**: 0.0 Bohr magnetons per cell
**SG**: Immm, No. 71
**Calculated formation energy**: -0.1462 eV per atom

Unit cell a=8.8354 b=8.8354 c=8.8354 alpha=105.91 beta=108.52 gamma=114.10
Fractional coordinates of all 18 atoms:
1 Nd 0.3041 0.6246 0.3205
2 Nd 0.9026 0.7166 0.1859
3 Nd 0.0974 0.2834 0.8141
4 Nd 0.6959 0.3754 0.6795
5 Nd 0.1982 0.2365 0.4346
6 Nd 0.3041 0.9836 0.6795
7 Nd 0.4693 0.2834 0.1859
8 Nd 0.8018 0.2365 0.0383
9 Nd 0.6959 0.0164 0.3205
10 Nd 0.1982 0.7635 0.9617
11 Nd 0.8018 0.7635 0.5654
12 Nd 0.5307 0.7166 0.8141
13 Cu 0.5000 0.3837 0.8837
14 Cu 0.6440 0.0000 0.6440
15 Cu 0.5000 0.6163 0.1163
16 Cu 0.3560 0.0000 0.3560
17 Tl 0.0000 0.5000 0.5000
18 Tl 0.0000 0.0000 0.0000